Zr5Sb3P | GGA-PBEsol | optimized geometry

a = 8.4444 Å, b = 8.4444 Å, c = 5.9123 Å
α = 90.00°, β = 90.00°, γ = 120.00°
With the nearest neighbours (Å) after each atom.
Space group P6_3/mcm (No. 193)
One atom of each set of equivalent atoms:
Zr1 0.0000 0.2514 0.2500 [6 per cell]  2 P 2.59
Zr2 0.3333 0.6667 0.0000 [4 per cell]  2 Zr 2.96, 6 Sb 2.98
Sb1 0.0000 0.3990 0.7500 [6 per cell]  9 Zr 2.95-3.21
P1 0.0000 0.0000 0.0000 [2 per cell]  6 Zr 2.59

Output
Energy relative to the elements, uncorrected: -994 meV per atom
Total DFT energy (no corrections): -8.206 eV per atom